This record from Alexandria via LeMat-Bulk describes a relaxed SiTc3Bi crystal. The functional is PBE.

a b c (Å): 4.5195 4.5195 4.5195
angles (deg): 90.00 90.00 90.00
Last column: magnetic moment on the atom in μB.
Atoms (fractional coordinates):
Tc 0.0000 0.5000 0.0000  0.65
Tc 0.5000 0.0000 0.0000  0.67
Tc 0.0000 0.0000 0.5000  0.79
Si 0.0000 0.0000 0.0000  -0.03
Bi 0.5000 0.5000 0.5000  -0.03

Computed properties:
Its space group is Pm-3m, No. 221. The density of states at the Fermi level comes out at 5.7 states/eV per cell. The distance to the lowest polymorph of the same formula is 0 meV per atom.

***

This record from Alexandria via LeMat-Bulk describes a relaxed Si2Tc2Bi crystal. The functional is PBE.

a b c (Å): 7.4184 7.4184 2.9893
angles (deg): 90.00 90.00 90.00
Atoms (fractional coordinates):
Si 0.3670 0.1330 0.5000
Si 0.1330 0.6330 0.5000
Si 0.6330 0.8670 0.5000
Si 0.8670 0.3670 0.5000
Tc 0.3519 0.8519 0.0000
Tc 0.8519 0.6481 0.0000
Tc 0.6481 0.1481 0.0000
Tc 0.1481 0.3519 0.0000
Bi 0.0000 0.0000 0.0000
Bi 0.5000 0.5000 0.0000

Computed properties:
Its space group is P4/mbm, No. 127. The density of states at the Fermi level comes out at 10.6 states/eV per cell. The distance to the lowest polymorph of the same formula is 166 meV per atom.

***

This record from Alexandria via LeMat-Bulk describes a relaxed Si2Tc2Bi crystal. The functional is PBE.

a b c (Å): 7.3669 7.3669 3.0298
angles (deg): 90.00 90.00 90.00
Atoms (fractional coordinates):
Si 0.1270 0.3730 0.0000
Si 0.8730 0.6270 0.0000
Si 0.3730 0.8730 0.0000
Si 0.6270 0.1270 0.0000
Bi 0.0000 0.0000 0.0000
Bi 0.5000 0.5000 0.0000
Tc 0.6526 0.8474 0.5000
Tc 0.1526 0.6526 0.5000
Tc 0.3474 0.1526 0.5000
Tc 0.8474 0.3474 0.5000

Computed properties:
Its space group is P4/mbm, No. 127. The density of states at the Fermi level comes out at 6.3 states/eV per cell. The distance to the lowest polymorph of the same formula is 234 meV per atom.

***

This record from Alexandria via LeMat-Bulk describes a relaxed SiTc2Bi crystal. The functional is PBE.

a b c (Å): 4.5126 4.5126 4.5126
angles (deg): 60.00 60.00 60.00
Atoms (fractional coordinates):
Si 0.0000 0.0000 0.0000
Tc 0.2500 0.2500 0.2500
Tc 0.7500 0.7500 0.7500
Bi 0.5000 0.5000 0.5000

Computed properties:
Its space group is Fm-3m, No. 225. The density of states at the Fermi level comes out at 3.0 states/eV per cell. The distance to the lowest polymorph of the same formula is 0 meV per atom.

***

This record from Alexandria via LeMat-Bulk describes a relaxed SiTc3Bi crystal. The functional is PBE.

a b c (Å): 5.0363 5.0363 5.0363
angles (deg): 90.00 90.00 90.00
Last column: magnetic moment on the atom in μB.
Atoms (fractional coordinates):
Tc 0.5000 0.0000 0.0000  1.63
Tc 0.0000 0.0000 0.5000  2.21
Tc 0.0000 0.5000 0.0000  1.82
Bi 0.0000 0.0000 0.0000  -0.07
Si 0.5000 0.5000 0.5000  -0.05

Computed properties:
Its space group is Pm-3m, No. 221. The density of states at the Fermi level comes out at 5.3 states/eV per cell. The distance to the lowest polymorph of the same formula is 1743 meV per atom.

***

This record from Alexandria via LeMat-Bulk describes a relaxed SiTc2Bi crystal. The functional is PBE.

a b c (Å): 4.2329 4.2329 9.2816
angles (deg): 76.82 76.82 90.00
Atoms (fractional coordinates):
Bi 0.7500 0.2500 0.5000
Bi 0.0000 0.0000 0.0000
Tc 0.8750 0.7799 0.7500
Tc 0.5299 0.1250 0.2500
Tc 0.3750 0.4701 0.7500
Tc 0.2201 0.6250 0.2500
Si 0.5000 0.5000 0.0000
Si 0.2500 0.7500 0.5000

Computed properties:
Its space group is I-42d, No. 122. The density of states at the Fermi level comes out at 7.6 states/eV per cell. The distance to the lowest polymorph of the same formula is 261 meV per atom.

***

This record from Alexandria via LeMat-Bulk describes a relaxed Si2BiTe crystal. The functional is PBE.

a b c (Å): 5.8096 5.8096 8.5711
angles (deg): 70.19 70.19 90.00
Atoms (fractional coordinates):
Si 0.8750 0.8623 0.7500
Si 0.6123 0.1250 0.2500
Si 0.3750 0.3877 0.7500
Si 0.1377 0.6250 0.2500
Bi 0.0000 0.0000 0.0000
Bi 0.7500 0.2500 0.5000
Te 0.2500 0.7500 0.5000
Te 0.5000 0.5000 0.0000

Computed properties:
Its space group is I-42d, No. 122. The density of states at the Fermi level comes out at 2.3 states/eV per cell. The distance to the lowest polymorph of the same formula is 0 meV per atom.

***

This record from Alexandria via LeMat-Bulk describes a relaxed SiBiTe crystal. The functional is PBE.

a b c (Å): 4.1270 4.1270 12.1646
angles (deg): 80.23 80.23 60.00
Atoms (fractional coordinates):
Te 0.2874 0.2874 0.1378
Te 0.7126 0.7126 0.8622
Si 0.1554 0.1554 0.5338
Si 0.8446 0.8446 0.4662
Bi 0.5684 0.5684 0.2948
Bi 0.4316 0.4316 0.7052

Computed properties:
Its space group is R-3m, No. 166. The density of states at the Fermi level comes out at 1.3 states/eV per cell.

***

This record from Alexandria via LeMat-Bulk describes a relaxed Si5Bi3Te12 crystal. The functional is PBE.

a b c (Å): 14.9986 14.9986 14.9986
angles (deg): 109.47 109.47 109.47
Atoms (fractional coordinates):
Te 0.6811 0.2097 0.5896
Te 0.2903 0.8800 0.9715
Te 0.9715 0.3800 0.2903
Te 0.1811 0.0915 0.9715
Te 0.0896 0.9085 0.3800
Te 0.5915 0.6200 0.4104
Te 0.4085 0.0285 0.3189
Te 0.8800 0.5896 0.9085
Te 0.4104 0.1200 0.5915
Te 0.3800 0.4085 0.0896
Te 0.0896 0.1811 0.2097
Te 0.9104 0.0915 0.6200
Te 0.1811 0.0896 0.7097
Te 0.1200 0.4104 0.0915
Te 0.4104 0.2903 0.3189
Te 0.0915 0.9104 0.1200
Te 0.5285 0.2097 0.1200
Te 0.3189 0.7903 0.4104
Te 0.7903 0.3189 0.9104
Te 0.6811 0.4715 0.5915
Te 0.8189 0.9085 0.0285
Te 0.9085 0.8189 0.5285
Te 0.2903 0.4104 0.8189
Te 0.4085 0.3800 0.5896
Te 0.8800 0.2903 0.4715
Te 0.6200 0.5915 0.9104
Te 0.0915 0.1811 0.4715
Te 0.2097 0.5285 0.6200
Te 0.3189 0.5285 0.4085
Te 0.9104 0.8189 0.7903
Te 0.1200 0.7097 0.5285
Te 0.2097 0.6811 0.0896
Te 0.5915 0.9715 0.6811
Te 0.7903 0.4715 0.3800
Te 0.0285 0.6200 0.7097
Te 0.7097 0.5896 0.1811
Te 0.4715 0.6811 0.0915
Te 0.4715 0.7903 0.8800
Te 0.5285 0.3189 0.9085
Te 0.9715 0.5915 0.1811
Te 0.5896 0.8800 0.4085
Te 0.8189 0.9104 0.2903
Te 0.9085 0.0896 0.8800
Te 0.5896 0.7097 0.6811
Te 0.3800 0.9715 0.7903
Te 0.6200 0.0285 0.2097
Te 0.7097 0.1200 0.0285
Te 0.0285 0.4085 0.8189
Si 0.0000 0.5000 0.0000
Si 0.5000 0.0000 0.0000
Si 0.0000 0.0000 0.5000
Si 0.5000 0.5000 0.0000
Si 0.0000 0.5000 0.5000
Si 0.0000 0.0000 0.0000
Si 0.3750 0.2500 0.1250
Si 0.1250 0.7500 0.3750
Si 0.3750 0.1250 0.7500
Si 0.7500 0.1250 0.8750
Si 0.6250 0.8750 0.2500
Si 0.8750 0.6250 0.7500
Si 0.6250 0.7500 0.8750
Si 0.5000 0.5000 0.5000
Si 0.1250 0.3750 0.2500
Si 0.5000 0.0000 0.5000
Si 0.2500 0.8750 0.1250
Si 0.2500 0.3750 0.6250
Si 0.8750 0.2500 0.6250
Si 0.7500 0.6250 0.3750
Bi 0.1250 0.8750 0.7500
Bi 0.8750 0.7500 0.1250
Bi 0.2500 0.6250 0.8750
Bi 0.7500 0.3750 0.1250
Bi 0.2500 0.1250 0.3750
Bi 0.6250 0.2500 0.3750
Bi 0.7500 0.8750 0.6250
Bi 0.3750 0.6250 0.2500
Bi 0.8750 0.1250 0.2500
Bi 0.6250 0.3750 0.7500
Bi 0.3750 0.7500 0.6250
Bi 0.1250 0.2500 0.8750

Computed properties:
Its space group is Ia-3d, No. 230. The density of states at the Fermi level comes out at 14.4 states/eV per cell.

***

This record from Alexandria via LeMat-Bulk describes a relaxed Si2Bi2Te crystal. The functional is PBE.

a b c (Å): 3.8967 3.8967 8.9384
angles (deg): 77.41 77.41 90.00
Atoms (fractional coordinates):
Bi 0.3855 0.3855 0.2289
Bi 0.6145 0.6145 0.7711
Te 0.0000 0.0000 0.0000
Si 0.7500 0.2500 0.5000
Si 0.2500 0.7500 0.5000

Computed properties:
Its space group is I4/mmm, No. 139. The density of states at the Fermi level comes out at 2.0 states/eV per cell.

***

This record from Alexandria via LeMat-Bulk describes a relaxed Si2BiTe crystal. The functional is PBE.

a b c (Å): 5.0847 5.0847 5.0847
angles (deg): 60.00 60.00 60.00
Atoms (fractional coordinates):
Si 0.2500 0.2500 0.2500
Si 0.7500 0.7500 0.7500
Te 0.0000 0.0000 0.0000
Bi 0.5000 0.5000 0.5000

Computed properties:
Its space group is Fm-3m, No. 225. The density of states at the Fermi level comes out at 3.3 states/eV per cell. The distance to the lowest polymorph of the same formula is 50 meV per atom.

***

This record from Alexandria via LeMat-Bulk describes a relaxed Th4SiBiTe2 crystal. The functional is PBE.

a b c (Å): 4.4000 7.8488 7.7322
angles (deg): 108.93 90.00 90.00
Atoms (fractional coordinates):
Th 0.5000 0.7245 0.7660
Th 0.5000 0.2755 0.2340
Th 0.0000 0.2846 0.7807
Th 0.0000 0.7154 0.2193
Te 0.0000 0.5000 0.5000
Te 0.5000 0.0000 0.5000
Bi 0.0000 0.0000 0.0000
Si 0.5000 0.5000 0.0000

Computed properties:
Its space group is P2/m, No. 10. The density of states at the Fermi level comes out at 5.4 states/eV per cell.

***

This record from Alexandria via LeMat-Bulk describes a relaxed Th8Si3BiTe4 crystal. The functional is PBE.

a b c (Å): 8.7960 8.9166 8.7963
angles (deg): 119.55 120.00 90.00
Atoms (fractional coordinates):
Th 0.2516 0.7205 0.5032
Th 0.2631 0.2895 0.5263
Th 0.7168 0.7207 0.9689
Th 0.7369 0.7105 0.4737
Th 0.7480 0.2793 0.0311
Th 0.2832 0.2793 0.0311
Th 0.7484 0.2795 0.4968
Th 0.2520 0.7207 0.9689
Te 0.5000 0.0000 0.0000
Te 0.0000 0.0000 0.0000
Te 0.5000 0.0000 0.5000
Te 0.0000 0.0000 0.5000
Bi 0.0000 0.5000 0.0000
Si 0.0000 0.5000 0.5000
Si 0.5000 0.5000 0.0000
Si 0.5000 0.5000 0.5000

Computed properties:
Its space group is R-3m, No. 166. The density of states at the Fermi level comes out at 9.6 states/eV per cell.

***

This record from Alexandria via LeMat-Bulk describes a relaxed Th4SiBi2Te crystal. The functional is PBE.

a b c (Å): 4.4289 7.8395 7.7794
angles (deg): 71.14 90.00 90.00
Atoms (fractional coordinates):
Bi 0.5000 0.0000 0.5000
Bi 0.0000 0.0000 0.0000
Th 0.0000 0.7280 0.7361
Th 0.5000 0.7186 0.2779
Th 0.5000 0.2814 0.7221
Th 0.0000 0.2720 0.2639
Te 0.5000 0.5000 0.0000
Si 0.0000 0.5000 0.5000

Computed properties:
Its space group is P2/m, No. 10. The density of states at the Fermi level comes out at 5.0 states/eV per cell.

***

This record from Alexandria via LeMat-Bulk describes a relaxed Th6Si2BiTe3 crystal. The functional is PBE.

a b c (Å): 4.3860 8.9715 9.9299
angles (deg): 103.11 102.76 90.00
Atoms (fractional coordinates):
Th 0.6720 0.1221 0.3439
Th 0.0168 0.2624 0.0336
Th 0.9832 0.7376 0.9664
Th 0.3280 0.8779 0.6561
Th 0.3257 0.4357 0.6514
Th 0.6743 0.5643 0.3486
Te 0.1591 0.8364 0.3181
Te 0.8409 0.1636 0.6819
Te 0.5000 0.5000 0.0000
Si 0.8294 0.6611 0.6588
Si 0.1706 0.3389 0.3412
Bi 0.5000 0.0000 0.0000

Computed properties:
Its space group is C2/m, No. 12. The density of states at the Fermi level comes out at 8.9 states/eV per cell.

***

This record from Alexandria via LeMat-Bulk describes a relaxed Tl2SiBiTe4 crystal. The functional is PBE.

a b c (Å): 7.7122 7.0844 7.0844
angles (deg): 72.77 57.02 57.02
Atoms (fractional coordinates):
Te 0.4767 0.6495 0.0000
Te 0.8737 0.0000 0.6495
Te 0.1263 0.3505 0.0000
Te 0.5233 0.0000 0.3505
Tl 0.5000 0.5000 0.5000
Tl 0.0000 0.5000 0.5000
Bi 0.0000 0.0000 0.0000
Si 0.5000 0.0000 0.0000

Computed properties:
Its space group is I-42m, No. 121. The density of states at the Fermi level comes out at 4.7 states/eV per cell.

***

This record from Alexandria via LeMat-Bulk describes a relaxed Tm8Si3BiTe4 crystal. The functional is PBE.

a b c (Å): 8.4681 8.5545 8.4678
angles (deg): 119.67 120.00 90.00
Atoms (fractional coordinates):
Tm 0.2759 0.2777 0.0268
Tm 0.2492 0.7222 0.4983
Tm 0.2491 0.7223 0.9732
Tm 0.7509 0.2777 0.0268
Tm 0.7241 0.7223 0.9732
Tm 0.2612 0.2836 0.5225
Tm 0.7508 0.2778 0.5017
Tm 0.7388 0.7164 0.4775
Si 0.5000 0.5000 0.0000
Si 0.0000 0.5000 0.5000
Si 0.5000 0.5000 0.5000
Bi 0.0000 0.5000 0.0000
Te 0.0000 0.0000 0.0000
Te 0.5000 0.0000 0.0000
Te 0.0000 0.0000 0.5000
Te 0.5000 0.0000 0.5000

Computed properties:
Its space group is R-3m, No. 166. The density of states at the Fermi level comes out at 3.2 states/eV per cell.

***

This record from Alexandria via LeMat-Bulk describes a relaxed Tm6Si2BiTe3 crystal. The functional is PBE.

a b c (Å): 4.2359 8.6045 9.5522
angles (deg): 103.24 102.81 90.00
Atoms (fractional coordinates):
Tm 0.3248 0.4338 0.6495
Tm 0.3297 0.8833 0.6594
Tm 0.9861 0.7434 0.9722
Tm 0.6752 0.5662 0.3505
Tm 0.0139 0.2566 0.0278
Tm 0.6703 0.1167 0.3406
Bi 0.5000 0.0000 0.0000
Te 0.8380 0.1653 0.6760
Te 0.1620 0.8347 0.3240
Te 0.5000 0.5000 0.0000
Si 0.8314 0.6625 0.6629
Si 0.1686 0.3375 0.3371

Computed properties:
Its space group is C2/m, No. 12. The density of states at the Fermi level comes out at 2.8 states/eV per cell.

***

This record from Alexandria via LeMat-Bulk describes a relaxed Si2BiTeW crystal. The functional is PBE.

a b c (Å): 5.3228 5.3869 5.3228
angles (deg): 90.00 90.00 90.00
Last column: magnetic moment on the atom in μB.
Atoms (fractional coordinates):
Bi 0.0000 0.0000 0.0000  -0.04
Si 0.5000 0.0000 0.0000  -0.05
Si 0.0000 0.0000 0.5000  -0.02
Te 0.5000 0.5000 0.5000  -0.06
W 0.0000 0.5000 0.0000  2.48

Computed properties:
Its space group is P4/mmm, No. 123. The density of states at the Fermi level comes out at 4.2 states/eV per cell.

***

This record from Alexandria via LeMat-Bulk describes a relaxed Y6Si2BiTe3 crystal. The functional is PBE.

a b c (Å): 4.2896 8.7264 9.6821
angles (deg): 103.32 102.80 90.00
Atoms (fractional coordinates):
Si 0.8314 0.6630 0.6628
Si 0.1686 0.3370 0.3372
Y 0.0132 0.2564 0.0265
Y 0.3299 0.8857 0.6598
Y 0.6701 0.1143 0.3402
Y 0.3254 0.4329 0.6509
Y 0.6746 0.5671 0.3491
Y 0.9868 0.7436 0.9735
Te 0.8378 0.1657 0.6757
Te 0.5000 0.5000 0.0000
Te 0.1622 0.8343 0.3243
Bi 0.5000 0.0000 0.0000

Computed properties:
Its space group is C2/m, No. 12. The density of states at the Fermi level comes out at 2.7 states/eV per cell.

***

This record from Alexandria via LeMat-Bulk describes a relaxed ZrSiBiTe2 crystal. The functional is PBE.

a b c (Å): 5.5150 5.7922 5.5150
angles (deg): 90.00 90.00 90.00
Last column: magnetic moment on the atom in μB.
Atoms (fractional coordinates):
Zr 0.0000 0.0000 0.0000  0.00
Bi 0.0000 0.5000 0.0000  -0.05
Si 0.5000 0.5000 0.5000  0.09
Te 0.5000 0.0000 0.0000  0.00
Te 0.0000 0.0000 0.5000  -0.01

Computed properties:
Its space group is P4/mmm, No. 123. The density of states at the Fermi level comes out at 4.5 states/eV per cell.

***

Calculated uncorrected energy, -36.7, -70.3, -69.6, -28.8, -27.9, -55.5, -31.3, -24.2, -300.5, -20.3, -15.5, -52.3, -106.8, -52.0, -79.6, -27.7, -85.3, -63.6, -20.9, -76.7, -21.7 eV for the cell shown (same order as the records).